# 1
# PBE MgSc2CdO, optimized geometry
data_MgSc2CdO
_cell_length_a 4.422
_cell_length_b 4.422
_cell_length_c 4.447
_cell_angle_alpha 90.00
_cell_angle_beta 90.00
_cell_angle_gamma 90.00
_space_group_name_H-M_alt 'P 4/m m m'
_space_group_IT_number 123
_space_group_name_Hall '-P 4 2'
loop_
_atom_site_label
_atom_site_type_symbol
_atom_site_fract_x
_atom_site_fract_y
_atom_site_fract_z
Mg1 Mg 0.000 0.000 0.000
Sc1 Sc 0.000 0.500 0.500
Cd1 Cd 0.500 0.500 0.000
O1 O 0.000 0.000 0.500
# E_tot in eV per atom: -5.278

# 2
# PBE NaAc3Sn, optimized geometry
data_NaAc3Sn
_cell_length_a 9.0654
_cell_length_b 9.0654
_cell_length_c 11.0931
_cell_angle_alpha 90.00
_cell_angle_beta 90.00
_cell_angle_gamma 120.00
_space_group_name_H-M_alt 'R 3 m'
_space_group_IT_number 160
_space_group_name_Hall 'R 3 -2"'
loop_
_atom_site_label
_atom_site_type_symbol
_atom_site_fract_x
_atom_site_fract_y
_atom_site_fract_z
Na1 Na 0.0000 0.0000 0.0000
Ac1 Ac 0.0001 0.5000 0.9992
Sn1 Sn 0.0000 0.0000 0.4993
# Calculated formation energy in eV per atom: 0.150
# E_tot in eV per atom: -3.380

What did the second record say?
# PBE NaAc3Sn, optimized geometry
data_NaAc3Sn
_cell_length_a 9.0654
_cell_length_b 9.0654
_cell_length_c 11.0931
_cell_angle_alpha 90.00
_cell_angle_beta 90.00
_cell_angle_gamma 120.00
_space_group_name_H-M_alt 'R 3 m'
_space_group_IT_number 160
_space_group_name_Hall 'R 3 -2"'
loop_
_atom_site_label
_atom_site_type_symbol
_atom_site_fract_x
_atom_site_fract_y
_atom_site_fract_z
Na1 Na 0.0000 0.0000 0.0000
Ac1 Ac 0.0001 0.5000 0.9992
Sn1 Sn 0.0000 0.0000 0.4993
# Calculated formation energy in eV per atom: 0.150
# E_tot in eV per atom: -3.380

Look up the E_tot of the first one. -5.278 eV per atom